{"formula": "Mn2SnIO", "functional": "GGA+U", "state": "relaxed", "lattice_angstrom": [[5.4982, 0.0000, 0.0000], [0.0000, 5.4982, 0.0000], [0.0000, 0.0000, 5.8574]], "species": ["Mn", "Mn", "Sn", "I", "O"], "frac_coords": [[0.0000, 0.5000, 0.0000], [0.5000, 0.0000, 0.0000], [0.0000, 0.0000, 0.0000], [0.0000, 0.0000, 0.5000], [0.5000, 0.5000, 0.5000]], "total_magnetization_mub_per_fu": 9.88, "dft_energy_ev_per_cell": -20.539, "volume_a3_per_atom": 35.41}